(1)
Compound: Ac3Tl4Ag2
Source: Alexandria via LeMat-Bulk
Functional: PBE
Structure: optimized geometry

POSCAR file:
```
Ac3Tl4Ag2
1.0
6.001 -2.558 0.000
6.001 2.558 0.000
-3.987 0.000 8.947
Ac Tl Ag
3 4 2
direct
0.000 0.000 0.000 Ac
0.328 0.328 0.348 Ac
0.672 0.672 0.652 Ac
0.035 0.035 0.365 Tl
0.260 0.260 0.915 Tl
0.740 0.740 0.085 Tl
0.965 0.965 0.635 Tl
0.399 0.399 0.727 Ag
0.601 0.601 0.273 Ag
```

Computed properties:
formation enthalpy at 0 K: -328 meV/atom
Fermi-level density of states: 0.529 states/eV/atom
V: 30.5 A^3/atom
size of the total moment: 0.0 μB per cell

=====

(2)
Compound: Ac3Tl2Ag3
Source: Alexandria via LeMat-Bulk
Functional: PBE
Structure: optimized geometry

POSCAR file:
```
Ac3Tl2Ag3
1.0
2.476 -6.156 0.000
2.476 6.156 0.000
0.000 0.000 15.782
Ac Tl Ag
6 4 6
direct
0.089 0.911 0.607 Ac
0.089 0.911 0.893 Ac
0.377 0.623 0.750 Ac
0.623 0.377 0.250 Ac
0.911 0.089 0.107 Ac
0.911 0.089 0.393 Ac
0.208 0.792 0.097 Tl
0.208 0.792 0.403 Tl
0.792 0.208 0.597 Tl
0.792 0.208 0.903 Tl
0.350 0.650 0.250 Ag
0.397 0.603 0.540 Ag
0.397 0.603 0.960 Ag
0.603 0.397 0.040 Ag
0.603 0.397 0.460 Ag
0.650 0.350 0.750 Ag
```

Computed properties:
formation enthalpy at 0 K: -275 meV/atom
Fermi-level density of states: 0.846 states/eV/atom
V: 30.1 A^3/atom
size of the total moment: 0.0 μB per cell

=====

(3)
Compound: Ac6Tl3Ag
Source: Alexandria via LeMat-Bulk
Functional: PBE
Structure: optimized geometry

POSCAR file:
```
Ac6Tl3Ag
1.0
7.073 0.000 0.000
0.000 9.646 0.000
-6.727 0.000 11.560
Ac Tl Ag
12 6 2
direct
0.062 0.169 0.435 Ac
0.062 0.331 0.935 Ac
0.319 0.683 0.434 Ac
0.319 0.817 0.934 Ac
0.411 0.066 0.257 Ac
0.411 0.434 0.757 Ac
0.589 0.566 0.243 Ac
0.589 0.934 0.743 Ac
0.681 0.183 0.066 Ac
0.681 0.317 0.566 Ac
0.938 0.669 0.065 Ac
0.938 0.831 0.565 Ac
0.000 0.000 0.000 Tl
0.000 0.500 0.500 Tl
0.173 0.113 0.758 Tl
0.173 0.387 0.258 Tl
0.827 0.613 0.742 Tl
0.827 0.887 0.242 Tl
0.500 0.000 0.500 Ag
0.500 0.500 0.000 Ag
```

Computed properties:
formation enthalpy at 0 K: -153 meV/atom
Fermi-level density of states: 1.324 states/eV/atom
V: 39.4 A^3/atom
size of the total moment: 0.0 μB per cell

=====

(4)
Compound: AcTlAg2
Source: Alexandria via LeMat-Bulk
Functional: PBE
Structure: optimized geometry

POSCAR file:
```
AcTlAg2
1.0
3.950 0.000 0.000
0.000 3.950 0.000
0.000 0.000 7.037
Ac Tl Ag
1 1 2
direct
0.000 0.000 0.000 Ac
0.000 0.000 0.500 Tl
0.500 0.500 0.273 Ag
0.500 0.500 0.727 Ag
```

Computed properties:
formation enthalpy at 0 K: -87 meV/atom
Fermi-level density of states: 0.762 states/eV/atom
V: 27.4 A^3/atom
size of the total moment: 0.0 μB per cell

=====

(5)
Compound: Ac12Tl6Ag
Source: Alexandria via LeMat-Bulk
Functional: PBE
Structure: optimized geometry

POSCAR file:
```
Ac12Tl6Ag
1.0
6.582 3.800 5.032
-6.582 3.800 5.032
0.000 -7.600 5.032
Ac Tl Ag
12 6 1
direct
0.051 0.695 0.937 Ac
0.063 0.949 0.305 Ac
0.170 0.531 0.396 Ac
0.305 0.063 0.949 Ac
0.396 0.170 0.531 Ac
0.469 0.604 0.830 Ac
0.531 0.396 0.170 Ac
0.604 0.830 0.469 Ac
0.695 0.937 0.051 Ac
0.830 0.469 0.604 Ac
0.937 0.051 0.695 Ac
0.949 0.305 0.063 Ac
0.168 0.364 0.765 Tl
0.235 0.832 0.636 Tl
0.364 0.765 0.168 Tl
0.636 0.235 0.832 Tl
0.765 0.168 0.364 Tl
0.832 0.636 0.235 Tl
0.500 0.500 0.500 Ag
```

Computed properties:
formation enthalpy at 0 K: -140 meV/atom
Fermi-level density of states: 1.198 states/eV/atom
V: 39.7 A^3/atom
size of the total moment: 0.0 μB per cell

=====

(6)
Compound: Ac2Tl5Ag3
Source: Alexandria via LeMat-Bulk
Functional: PBE
Structure: optimized geometry

POSCAR file:
```
Ac2Tl5Ag3
1.0
-6.102 6.770 3.398
6.102 -6.770 3.398
6.102 6.770 -3.398
Ac Tl Ag
4 10 6
direct
0.134 0.239 0.373 Ac
0.366 0.739 0.105 Ac
0.634 0.261 0.895 Ac
0.866 0.761 0.627 Ac
0.013 0.750 0.263 Tl
0.103 0.652 0.755 Tl
0.250 0.250 0.000 Tl
0.397 0.152 0.550 Tl
0.487 0.750 0.737 Tl
0.513 0.250 0.263 Tl
0.603 0.848 0.450 Tl
0.750 0.750 0.000 Tl
0.897 0.348 0.245 Tl
0.987 0.250 0.737 Tl
0.133 0.874 0.007 Ag
0.250 0.750 0.500 Ag
0.367 0.374 0.741 Ag
0.633 0.626 0.259 Ag
0.750 0.250 0.500 Ag
0.867 0.126 0.993 Ag
```

Computed properties:
formation enthalpy at 0 K: -162 meV/atom
Fermi-level density of states: 0.461 states/eV/atom
V: 28.1 A^3/atom
size of the total moment: 0.0 μB per cell

=====

(7)
Compound: Ac3Tl4Ag4
Source: Alexandria via LeMat-Bulk
Functional: PBE
Structure: optimized geometry

POSCAR file:
```
Ac3Tl4Ag4
1.0
-2.429 3.941 8.148
2.429 -3.941 8.148
2.429 3.941 -8.148
Ac Tl Ag
3 4 4
direct
0.000 0.000 0.000 Ac
0.366 0.866 0.500 Ac
0.634 0.134 0.500 Ac
0.218 0.218 0.000 Tl
0.311 0.500 0.811 Tl
0.689 0.500 0.189 Tl
0.782 0.782 0.000 Tl
0.020 0.333 0.687 Ag
0.354 0.667 0.687 Ag
0.646 0.333 0.313 Ag
0.980 0.667 0.313 Ag
```

Computed properties:
formation enthalpy at 0 K: -224 meV/atom
Fermi-level density of states: 1.161 states/eV/atom
V: 28.4 A^3/atom
size of the total moment: 0.0 μB per cell

=====

(8)
Compound: Ac12TlAg6
Source: Alexandria via LeMat-Bulk
Functional: PBE
Structure: optimized geometry

POSCAR file:
```
Ac12TlAg6
1.0
-5.571 5.571 5.571
5.571 -5.571 5.571
5.571 5.571 -5.571
Ac Tl Ag
12 1 6
direct
0.104 0.291 0.814 Ac
0.186 0.477 0.291 Ac
0.186 0.896 0.709 Ac
0.291 0.186 0.477 Ac
0.291 0.814 0.104 Ac
0.477 0.291 0.186 Ac
0.523 0.709 0.814 Ac
0.709 0.186 0.896 Ac
0.709 0.814 0.523 Ac
0.814 0.104 0.291 Ac
0.814 0.523 0.709 Ac
0.896 0.709 0.186 Ac
0.000 0.000 0.000 Tl
0.127 0.500 0.627 Ag
0.373 0.873 0.500 Ag
0.500 0.373 0.873 Ag
0.500 0.627 0.127 Ag
0.627 0.127 0.500 Ag
0.873 0.500 0.373 Ag
```

Computed properties:
formation enthalpy at 0 K: -143 meV/atom
Fermi-level density of states: 1.311 states/eV/atom
V: 36.4 A^3/atom
size of the total moment: 0.0 μB per cell

=====

(9)
Compound: Ac2Tl3Ag
Source: Alexandria via LeMat-Bulk
Functional: PBE
Structure: optimized geometry

POSCAR file:
```
Ac2Tl3Ag
1.0
0.000 5.153 8.956
4.042 0.000 8.956
4.042 5.153 0.000
Ac Tl Ag
4 6 2
direct
0.246 0.754 0.754 Ac
0.250 0.250 0.250 Ac
0.750 0.750 0.750 Ac
0.754 0.246 0.246 Ac
0.158 0.670 0.330 Tl
0.329 0.329 0.671 Tl
0.330 0.842 0.158 Tl
0.670 0.158 0.842 Tl
0.671 0.671 0.329 Tl
0.842 0.330 0.670 Tl
0.168 0.168 0.832 Ag
0.832 0.832 0.168 Ag
```

Computed properties:
formation enthalpy at 0 K: -299 meV/atom
Fermi-level density of states: 0.740 states/eV/atom
V: 31.1 A^3/atom
size of the total moment: 0.0 μB per cell

=====

(10)
Compound: Ac5Tl5Ag2
Source: Alexandria via LeMat-Bulk
Functional: PBE
Structure: optimized geometry

POSCAR file:
```
Ac5Tl5Ag2
1.0
8.787 -2.558 0.000
8.787 2.558 0.000
-7.079 0.000 8.659
Ac Tl Ag
5 5 2
direct
0.000 0.000 0.000 Ac
0.126 0.126 0.433 Ac
0.173 0.173 0.831 Ac
0.827 0.827 0.169 Ac
0.874 0.874 0.567 Ac
0.252 0.252 0.269 Tl
0.453 0.453 0.158 Tl
0.500 0.500 0.500 Tl
0.547 0.547 0.842 Tl
0.748 0.748 0.731 Tl
0.349 0.349 0.763 Ag
0.651 0.651 0.237 Ag
```

Computed properties:
formation enthalpy at 0 K: -311 meV/atom
Fermi-level density of states: 0.882 states/eV/atom
V: 32.4 A^3/atom
size of the total moment: 0.0 μB per cell

=====

(11)
Compound: Ac8Tl5Ag
Source: Alexandria via LeMat-Bulk
Functional: PBE
Structure: optimized geometry

POSCAR file:
```
Ac8Tl5Ag
1.0
-5.067 5.067 5.103
5.067 -5.067 5.103
5.067 5.067 -5.103
Ac Tl Ag
8 5 1
direct
0.116 0.226 0.745 Ac
0.128 0.732 0.750 Ac
0.268 0.018 0.396 Ac
0.482 0.371 0.255 Ac
0.622 0.872 0.604 Ac
0.629 0.884 0.111 Ac
0.774 0.518 0.889 Ac
0.982 0.378 0.250 Ac
0.000 0.000 0.000 Tl
0.254 0.624 0.124 Tl
0.376 0.500 0.630 Tl
0.500 0.130 0.876 Tl
0.870 0.746 0.370 Tl
0.750 0.250 0.500 Ag
```

Computed properties:
formation enthalpy at 0 K: -244 meV/atom
Fermi-level density of states: 1.205 states/eV/atom
V: 37.4 A^3/atom
size of the total moment: 0.0 μB per cell

=====

(12)
Compound: Ac5Tl4Ag
Source: Alexandria via LeMat-Bulk
Functional: PBE
Structure: optimized geometry

POSCAR file:
```
Ac5Tl4Ag
1.0
3.960 0.000 0.000
0.000 3.960 0.000
0.000 0.000 21.897
Ac Tl Ag
5 4 1
direct
0.000 0.000 0.000 Ac
0.000 0.000 0.206 Ac
0.000 0.000 0.409 Ac
0.000 0.000 0.591 Ac
0.000 0.000 0.794 Ac
0.500 0.500 0.103 Tl
0.500 0.500 0.309 Tl
0.500 0.500 0.691 Tl
0.500 0.500 0.897 Tl
0.500 0.500 0.500 Ag
```

Computed properties:
formation enthalpy at 0 K: -343 meV/atom
Fermi-level density of states: 0.924 states/eV/atom
V: 34.3 A^3/atom
size of the total moment: 0.0 μB per cell

=====

(13)
Compound: Ac2Tl8Ag
Source: Alexandria via LeMat-Bulk
Functional: PBE
Structure: optimized geometry

POSCAR file:
```
Ac2Tl8Ag
1.0
5.048 0.000 0.000
0.000 5.048 0.000
0.000 0.000 13.067
Ac Tl Ag
2 8 1
direct
0.000 0.000 0.193 Ac
0.000 0.000 0.807 Ac
0.000 0.500 0.000 Tl
0.000 0.500 0.375 Tl
0.000 0.500 0.625 Tl
0.500 0.000 0.000 Tl
0.500 0.000 0.375 Tl
0.500 0.000 0.625 Tl
0.500 0.500 0.188 Tl
0.500 0.500 0.812 Tl
0.000 0.000 0.500 Ag
```

Computed properties:
formation enthalpy at 0 K: -194 meV/atom
Fermi-level density of states: 0.544 states/eV/atom
V: 30.3 A^3/atom
size of the total moment: 0.0 μB per cell

=====

(14)
Compound: Ac4TlAg
Source: Alexandria via LeMat-Bulk
Functional: PBE
Structure: optimized geometry

POSCAR file:
```
Ac4TlAg
1.0
7.965 0.000 0.000
0.000 8.531 0.000
-0.982 0.000 7.383
Ac Tl Ag
8 2 2
direct
0.154 0.153 0.407 Ac
0.154 0.347 0.907 Ac
0.344 0.661 0.331 Ac
0.344 0.839 0.831 Ac
0.656 0.161 0.169 Ac
0.656 0.339 0.669 Ac
0.846 0.653 0.093 Ac
0.846 0.847 0.593 Ac
0.000 0.000 0.000 Tl
0.000 0.500 0.500 Tl
0.500 0.000 0.500 Ag
0.500 0.500 0.000 Ag
```

Computed properties:
formation enthalpy at 0 K: -23 meV/atom
Fermi-level density of states: 1.297 states/eV/atom
V: 41.8 A^3/atom
size of the total moment: 0.0 μB per cell

=====

(15)
Compound: Ac5Tl2Ag2
Source: Alexandria via LeMat-Bulk
Functional: PBE
Structure: optimized geometry

POSCAR file:
```
Ac5Tl2Ag2
1.0
8.636 -4.399 0.000
8.636 4.399 0.000
0.000 0.000 8.509
Ac Tl Ag
10 4 4
direct
0.000 0.000 0.000 Ac
0.046 0.685 0.670 Ac
0.185 0.546 0.170 Ac
0.315 0.954 0.670 Ac
0.454 0.815 0.170 Ac
0.500 0.500 0.500 Ac
0.546 0.185 0.830 Ac
0.685 0.046 0.330 Ac
0.815 0.454 0.830 Ac
0.954 0.315 0.330 Ac
0.213 0.213 0.000 Tl
0.287 0.287 0.500 Tl
0.713 0.713 0.500 Tl
0.787 0.787 0.000 Tl
0.119 0.881 0.378 Ag
0.381 0.619 0.878 Ag
0.619 0.381 0.122 Ag
0.881 0.119 0.622 Ag
```

Computed properties:
formation enthalpy at 0 K: -225 meV/atom
Fermi-level density of states: 1.105 states/eV/atom
V: 35.9 A^3/atom
size of the total moment: 0.0 μB per cell

=====

(16)
Compound: Ac6TlAg2
Source: Alexandria via LeMat-Bulk
Functional: PBE
Structure: optimized geometry

POSCAR file:
```
Ac6TlAg2
1.0
-5.327 5.516 5.743
5.327 -5.516 5.743
5.327 5.516 -5.743
Ac Tl Ag
12 2 4
direct
0.048 0.243 0.805 Ac
0.181 0.274 0.456 Ac
0.181 0.726 0.907 Ac
0.324 0.029 0.705 Ac
0.324 0.619 0.295 Ac
0.438 0.243 0.195 Ac
0.562 0.757 0.805 Ac
0.676 0.381 0.705 Ac
0.676 0.971 0.295 Ac
0.819 0.274 0.093 Ac
0.819 0.726 0.544 Ac
0.952 0.757 0.195 Ac
0.000 0.000 0.000 Tl
0.500 0.500 0.000 Tl
0.124 0.624 0.500 Ag
0.354 0.000 0.354 Ag
0.646 0.000 0.646 Ag
0.876 0.376 0.500 Ag
```

Computed properties:
formation enthalpy at 0 K: -170 meV/atom
Fermi-level density of states: 1.216 states/eV/atom
V: 37.5 A^3/atom
size of the total moment: 0.0 μB per cell

=====

(17)
Compound: AcTlAg2
Source: Alexandria via LeMat-Bulk
Functional: PBE
Structure: optimized geometry

POSCAR file:
```
AcTlAg2
1.0
5.023 0.000 0.000
0.000 5.023 0.000
0.000 0.000 4.382
Ac Tl Ag
1 1 2
direct
0.000 0.000 0.000 Ac
0.500 0.500 0.000 Tl
0.000 0.500 0.500 Ag
0.500 0.000 0.500 Ag
```

Computed properties:
formation enthalpy at 0 K: -94 meV/atom
Fermi-level density of states: 0.710 states/eV/atom
V: 27.6 A^3/atom
size of the total moment: 0.0 μB per cell

=====

(18)
Compound: AcTlAg2
Source: Alexandria via LeMat-Bulk
Functional: PBE
Structure: optimized geometry

POSCAR file:
```
AcTlAg2
1.0
5.063 0.000 0.000
0.000 6.059 0.000
0.000 0.000 7.396
Ac Tl Ag
2 2 4
direct
0.000 0.000 0.000 Ac
0.000 0.500 0.500 Ac
0.500 0.000 0.317 Tl
0.500 0.500 0.817 Tl
0.000 0.000 0.534 Ag
0.000 0.500 0.034 Ag
0.500 0.000 0.708 Ag
0.500 0.500 0.208 Ag
```

Computed properties:
formation enthalpy at 0 K: -74 meV/atom
Fermi-level density of states: 0.754 states/eV/atom
V: 28.4 A^3/atom
size of the total moment: 0.0 μB per cell

=====

(19)
Compound: Ac6Tl2Ag
Source: Alexandria via LeMat-Bulk
Functional: PBE
Structure: optimized geometry

POSCAR file:
```
Ac6Tl2Ag
1.0
7.111 0.000 0.000
0.000 9.233 0.000
-6.591 0.000 10.749
Ac Tl Ag
12 4 2
direct
0.071 0.166 0.442 Ac
0.071 0.334 0.942 Ac
0.321 0.690 0.437 Ac
0.321 0.810 0.937 Ac
0.409 0.040 0.273 Ac
0.409 0.460 0.773 Ac
0.591 0.540 0.227 Ac
0.591 0.960 0.727 Ac
0.679 0.190 0.063 Ac
0.679 0.310 0.563 Ac
0.929 0.666 0.058 Ac
0.929 0.834 0.558 Ac
0.176 0.124 0.756 Tl
0.176 0.376 0.256 Tl
0.824 0.624 0.744 Tl
0.824 0.876 0.244 Tl
0.000 0.000 0.000 Ag
0.000 0.500 0.500 Ag
```

Computed properties:
formation enthalpy at 0 K: -148 meV/atom
Fermi-level density of states: 1.315 states/eV/atom
V: 39.2 A^3/atom
size of the total moment: 0.0 μB per cell